Entry 1:
DFT (GGA-PBE) results for crystalline Ac2HoNi at its relaxed geometry.

Values from the calculation:
DFT formation energy   0.01 eV per atom
Offset from the most stable computed form   0.0000 eV per atom

Cell lengths 3.7704, 3.7704, 8.9062 Å; angles 90.00, 90.00, 90.00 degrees
Fractional coordinates of all 4 atoms:
Ac 0.0000 0.0000 0.1985
Ac 0.0000 0.0000 0.8015
Ho 0.5000 0.5000 0.5000
Ni 0.5000 0.5000 0.0000

***

Entry 2:
DFT (GGA-PBE) results for crystalline AcHoNi2 at its relaxed geometry.

Values from the calculation:
DFT formation energy   -0.24 eV per atom
Offset from the most stable computed form   0.0143 eV per atom

Cell lengths 3.5383, 3.5383, 6.9624 Å; angles 90.00, 90.00, 90.00 degrees
Fractional coordinates of all 4 atoms:
Ac 0.0000 0.0000 0.0000
Ho 0.0000 0.0000 0.5000
Ni 0.5000 0.5000 0.2915
Ni 0.5000 0.5000 0.7085

***

Entry 3:
DFT (GGA-PBE) results for crystalline AcHoNi4 at its relaxed geometry.

Values from the calculation:
DFT formation energy   -0.28 eV per atom
Offset from the most stable computed form   0.0097 eV per atom

Cell lengths 5.1775, 5.1775, 8.6920 Å; angles 90.00, 90.00, 120.00 degrees
Fractional coordinates of all 12 atoms:
Ac 0.3333 0.6667 0.0822
Ac 0.6667 0.3333 0.9178
Ho 0.3333 0.6667 0.4506
Ho 0.6667 0.3333 0.5494
Ni 0.0000 0.0000 0.0000
Ni 0.0000 0.0000 0.5000
Ni 0.1642 0.3283 0.7327
Ni 0.1642 0.8358 0.7327
Ni 0.3283 0.1642 0.2673
Ni 0.6717 0.8358 0.7327
Ni 0.8358 0.1642 0.2673
Ni 0.8358 0.6717 0.2673

***

Entry 4:
DFT (GGA-PBE) results for crystalline Ac2HoNi at its relaxed geometry.

Values from the calculation:
DFT formation energy   0.19 eV per atom
Offset from the most stable computed form   0.1869 eV per atom

Cell lengths 3.9075, 3.9075, 32.3389 Å; angles 90.00, 90.00, 120.00 degrees
Fractional coordinates of all 12 atoms:
Ac 0.0000 0.0000 0.1108
Ac 0.0000 0.0000 0.8892
Ac 0.3333 0.6667 0.5558
Ac 0.3333 0.6667 0.7775
Ac 0.6667 0.3333 0.2225
Ac 0.6667 0.3333 0.4442
Ho 0.0000 0.0000 0.0000
Ho 0.3333 0.6667 0.6667
Ho 0.6667 0.3333 0.3333
Ni 0.0000 0.0000 0.5000
Ni 0.3333 0.6667 0.1667
Ni 0.6667 0.3333 0.8333

***

Entry 5:
DFT (GGA-PBE) results for crystalline AcHo2Ni6 at its relaxed geometry.

Values from the calculation:
DFT formation energy   -0.33 eV per atom

Cell lengths 7.0163, 7.0163, 3.8525 Å; angles 90.00, 90.00, 120.00 degrees
Fractional coordinates of all 9 atoms:
Ac 0.0000 0.0000 0.0000
Ho 0.3333 0.6667 0.0000
Ho 0.6667 0.3333 0.0000
Ni 0.0000 0.3379 0.5000
Ni 0.0000 0.6621 0.5000
Ni 0.3379 0.0000 0.5000
Ni 0.3379 0.3379 0.5000
Ni 0.6621 0.0000 0.5000
Ni 0.6621 0.6621 0.5000

***

> Which formula does entry 5 have?

AcHo2Ni6